No. 1
Density functional theory data (GGA-PBE) for an optimized crystal structure of TbPrTm2Th.

* uncorrected energy: -4.841 eV/atom
* volume: 34.4 A^3/atom
* formation energy from the elements: 1.6 eV/f.u.
* crystal system: monoclinic

abc: 8.588 6.460 6.317
angles: 90.00 101.11 90.00
Space group P2/c (No. 13)
Symmetry-distinct sites (fractional):
Tb (0.000, 0.000, 0.000) x2
Pr (0.500, 0.172, 0.250) x2
Tm (0.312, 0.322, 0.692) x4
Th (0.000, 0.447, 0.250) x2


No. 2
Density functional theory data (GGA-PBE) for an optimized crystal structure of K2SrCd2Se4.

* formation energy without anion corrections: -10.354 eV/f.u.
* uncorrected energy: -3.333 eV/atom
* volume: 31.4 A^3/atom
* crystal system: monoclinic

abc: 16.739 4.399 8.185
angles: 90.00 110.09 90.00
Space group C2/m (No. 12)
Symmetry-distinct sites (fractional):
K (0.120, 0.000, 0.049) x4
Sr (0.000, 0.000, 0.500) x2
Cd (0.171, 0.500, 0.480) x4
Se (0.019, 0.500, 0.248) x4
Se (0.210, 0.000, 0.693) x4


No. 3
Density functional theory data (GGA-PBE) for an optimized crystal structure of Mn5Zn4.

* E above lowest polymorph: 68 meV per atom
* uncorrected energy: -5.478 eV/atom
* volume: 13.8 A^3/atom
* formation energy from the elements: 1.6 eV/f.u.
* crystal system: hexagonal

abc: 7.4533 7.4533 5.1793
angles: 90.00 90.00 120.00
Space group P6_3/mcm (No. 193)
Symmetry-distinct sites (fractional):
Mn (0.0000, 0.3205, 0.2500) x6
Mn (0.3333, 0.6667, 0.0000) x4
Zn (0.0000, 0.0000, 0.0000) x2
Zn (0.0000, 0.3493, 0.7500) x6


No. 4
Density functional theory data (GGA-PBE) for an optimized crystal structure of Dy2ErH8.

* uncorrected energy: -4.315 eV/atom
* volume: 9.1 A^3/atom
* crystal system: orthorhombic

abc: 3.627 5.090 10.878
angles: 90.00 90.00 90.00
Space group Immm (No. 71)
Symmetry-distinct sites (fractional):
Dy (0.000, 0.000, 0.168) x4
Er (0.000, 0.000, 0.500) x2
H (0.000, 0.234, 0.000) x4
H (0.000, 0.258, 0.340) x8
H (0.000, 0.500, 0.159) x4